(1)
Density functional theory data (GGA-PBEsol) for an optimized crystal structure of KLi2In2.

Structure (extended XYZ):
```
10
Lattice="8.830 0.000 0.000 0.000 8.830 0.000 0.000 0.000 3.141" Properties=species:S:1:pos:R:3 pbc="T T T"
K 0.000 0.000 0.000
K 4.415 4.415 0.000
Li 1.535 2.880 1.571
Li 2.880 7.295 1.571
Li 5.950 1.535 1.571
Li 7.295 5.950 1.571
In 1.039 5.454 0.000
In 3.376 1.039 0.000
In 5.454 7.791 0.000
In 7.791 3.376 0.000
```

Calculated values
* formation enthalpy at 0 K: -0.169 eV/atom
* DOS at the Fermi energy: 3.45 states/eV/cell

(2)
Density functional theory data (GGA-PBEsol) for an optimized crystal structure of TaCrNi2.

Structure (extended XYZ):
```
4
Lattice="4.197 -1.307 0.000 4.197 1.307 0.000 -0.781 0.000 4.537" Properties=species:S:1:pos:R:3 pbc="T T T"
Ta 0.000 0.000 0.000
Cr 1.491 0.000 3.116
Ni 3.802 0.000 2.259
Ni 6.147 0.000 1.090
```

Calculated values
* formation enthalpy at 0 K: 0.029 eV/atom
* distance to the lowest polymorph of the same formula: 123 meV per atom
* DOS at the Fermi energy: 4.27 states/eV/cell

(3)
Density functional theory data (GGA-PBEsol) for an optimized crystal structure of CaTaIr.

Structure (extended XYZ):
```
3
Lattice="3.770 0.000 0.000 -1.885 3.265 0.000 0.000 0.000 6.166" Properties=species:S:1:pos:R:3 pbc="T T T"
Ca 0.000 0.000 0.000
Ta 1.885 1.088 3.000
Ir 0.000 2.176 4.108
```

Calculated values
* formation enthalpy at 0 K: 0.214 eV/atom
* DOS at the Fermi energy: 2.23 states/eV/cell

(4)
Density functional theory data (GGA-PBEsol) for an optimized crystal structure of Sc5Co3.

Structure (extended XYZ):
```
16
Lattice="7.481 0.000 0.000 -3.741 6.479 0.000 0.000 0.000 5.600" Properties=species:S:1:pos:R:3 pbc="T T T"
Sc -0.952 1.649 1.400
Sc -2.788 4.830 4.200
Sc 1.905 0.000 1.400
Sc 0.952 1.649 4.200
Sc 0.000 4.319 0.000
Sc 0.000 4.319 2.800
Sc 3.741 2.160 0.000
Sc 3.741 2.160 2.800
Sc 5.577 0.000 4.200
Sc 2.788 4.830 1.400
Co -1.488 2.578 4.200
Co -2.252 3.901 1.400
Co 2.977 0.000 4.200
Co 1.488 2.578 1.400
Co 4.505 0.000 1.400
Co 2.252 3.901 4.200
```

Calculated values
* formation enthalpy at 0 K: -0.243 eV/atom
* distance to the lowest polymorph of the same formula: 0 meV per atom
* DOS at the Fermi energy: 15.33 states/eV/cell

(5)
Density functional theory data (GGA-PBEsol) for an optimized crystal structure of Cs2HgPd.

Structure (extended XYZ):
```
8
Lattice="-6.087 6.087 2.636 6.087 -6.087 2.636 6.087 6.087 -2.636" Properties=species:S:1:pos:R:3 pbc="T T T"
Cs -1.072 3.044 0.659
Cs 3.044 5.015 1.977
Cs 1.072 9.131 0.659
Cs -3.044 7.160 1.977
Hg 6.087 0.000 1.318
Hg 0.000 0.000 2.636
Pd 0.000 0.000 0.000
Pd 0.000 6.087 1.318
```

Calculated values
* formation enthalpy at 0 K: -0.040 eV/atom
* DOS at the Fermi energy: 3.07 states/eV/cell

(6)
Density functional theory data (GGA-PBEsol) for an optimized crystal structure of TiZnBi2O6.

Structure (extended XYZ):
```
10
Lattice="3.739 0.000 0.000 0.000 3.739 0.000 0.000 0.000 9.600" Properties=species:S:1:pos:R:3 pbc="T T T"
Ti 0.000 0.000 0.000
Zn 0.000 0.000 4.569
Bi 1.870 1.870 2.079
Bi 1.870 1.870 6.583
O 0.000 0.000 2.623
O 0.000 0.000 7.888
O 0.000 1.870 0.588
O 0.000 1.870 5.376
O 1.870 0.000 0.588
O 1.870 0.000 5.376
```

Calculated values
* distance to the lowest polymorph of the same formula: 21 meV per atom
* ΔE_f (raw): -1.79 eV per atom

(7)
Density functional theory data (GGA-PBEsol) for an optimized crystal structure of NdBi2IO4.

Structure (extended XYZ):
```
8
Lattice="3.959 0.000 0.000 0.000 3.959 0.000 0.000 0.000 9.536" Properties=species:S:1:pos:R:3 pbc="T T T"
Nd 0.000 0.000 0.000
Bi 1.979 1.979 2.520
Bi 1.979 1.979 7.016
I 0.000 0.000 4.768
O 0.000 1.979 1.443
O 0.000 1.979 8.093
O 1.979 0.000 1.443
O 1.979 0.000 8.093
```

Calculated values
* ΔE_f (raw): -1.92 eV per atom

(8)
Density functional theory data (GGA-PBEsol) for an optimized crystal structure of CaZrZn2.

Structure (extended XYZ):
```
4
Lattice="5.667 -1.581 0.000 5.667 1.581 0.000 -2.050 0.000 4.415" Properties=species:S:1:pos:R:3 pbc="T T T"
Ca 0.000 0.000 0.000
Zr 0.942 0.000 3.116
Zn 4.281 0.000 2.046
Zn 8.165 0.000 1.153
```

Calculated values
* formation enthalpy at 0 K: -0.039 eV/atom
* DOS at the Fermi energy: 2.84 states/eV/cell

Copy entry 1 word for word.
Density functional theory data (GGA-PBEsol) for an optimized crystal structure of KLi2In2.

Structure (extended XYZ):
```
10
Lattice="8.830 0.000 0.000 0.000 8.830 0.000 0.000 0.000 3.141" Properties=species:S:1:pos:R:3 pbc="T T T"
K 0.000 0.000 0.000
K 4.415 4.415 0.000
Li 1.535 2.880 1.571
Li 2.880 7.295 1.571
Li 5.950 1.535 1.571
Li 7.295 5.950 1.571
In 1.039 5.454 0.000
In 3.376 1.039 0.000
In 5.454 7.791 0.000
In 7.791 3.376 0.000
```

Calculated values
* formation enthalpy at 0 K: -0.169 eV/atom
* DOS at the Fermi energy: 3.45 states/eV/cell

Please write out number 2 again, unchanged.
Density functional theory data (GGA-PBEsol) for an optimized crystal structure of TaCrNi2.

Structure (extended XYZ):
```
4
Lattice="4.197 -1.307 0.000 4.197 1.307 0.000 -0.781 0.000 4.537" Properties=species:S:1:pos:R:3 pbc="T T T"
Ta 0.000 0.000 0.000
Cr 1.491 0.000 3.116
Ni 3.802 0.000 2.259
Ni 6.147 0.000 1.090
```

Calculated values
* formation enthalpy at 0 K: 0.029 eV/atom
* distance to the lowest polymorph of the same formula: 123 meV per atom
* DOS at the Fermi energy: 4.27 states/eV/cell